Entry 1:
First-principles (GGA-PBE) data for a relaxed Ac2CeSmBi5 crystal, as listed in Alexandria via LeMat-Bulk.

Lattice parameters (Å, degrees): 5.565 5.565 12.273 90.00 90.00 90.00
Space group P4/mmm (No. 123)
Inequivalent atoms, fractional coordinates:
Ac  0.000  0.000  0.219
Ce  0.500  0.500  0.500
Sm  0.500  0.500  0.000
Bi  0.000  0.000  0.500
Bi  0.000  0.500  0.000
Bi  0.500  0.500  0.254

Values from the calculation:
- DFT total energy (eV per atom) = -4.5307



Entry 2:
First-principles (GGA-PBE) data for a relaxed Tm2PuPt9 crystal, as listed in Alexandria via LeMat-Bulk.

Lattice parameters (Å, degrees): 4.108 4.108 12.348 90.00 90.00 90.00
Space group P4/mmm (No. 123)
Inequivalent atoms, fractional coordinates:
Tm  0.000  0.000  0.164
Pu  0.000  0.000  0.500
Pt  0.000  0.500  0.000
Pt  0.000  0.500  0.331
Pt  0.500  0.500  0.165
Pt  0.500  0.500  0.500

Values from the calculation:
- DFT total energy (eV per atom) = -7.4310



Entry 3:
First-principles (GGA-PBE) data for a relaxed Th8NiTe4P3 crystal, as listed in Alexandria via LeMat-Bulk.

Lattice parameters (Å, degrees): 8.4393 8.4393 22.0560 90.00 90.00 120.00
Space group R-3m (No. 166, hexagonal axes)
Inequivalent atoms, fractional coordinates:
Th  0.0000  0.0000  0.2358
Th  0.0057  0.5028  0.2357
Ni  0.0000  0.0000  0.5000
Te  0.0000  0.0000  0.0000
Te  0.0000  0.5000  0.0000
P  0.0000  0.5000  0.5000

Values from the calculation:
- E_form (uncorrected) (meV per atom) = -1208



Entry 4:
First-principles (GGA-PBE) data for a relaxed BeTc2Se crystal, as listed in Alexandria via LeMat-Bulk.

Lattice parameters (Å, degrees): 3.820 3.820 16.779 90.00 90.00 90.00
Space group I-42d (No. 122)
Inequivalent atoms, fractional coordinates:
Be  0.000  0.000  0.000
Tc  0.198  0.250  0.125
Se  0.000  0.000  0.500

Values from the calculation:
- E_form (uncorrected) (meV per atom) = 432
- offset from the most stable computed form (meV per atom) = 465



Entry 5:
First-principles (GGA-PBE) data for a relaxed CoSi3 crystal, as listed in Alexandria via LeMat-Bulk.

Lattice parameters (Å, degrees): 4.646 4.646 4.646 90.00 90.00 90.00
Space group Pm-3n (No. 223)
Inequivalent atoms, fractional coordinates:
Co  0.000  0.000  0.000
Si  0.000  0.250  0.500

Values from the calculation:
- E_form (uncorrected) (meV per atom) = 228



Entry 6:
First-principles (GGA-PBE) data for a relaxed HfTc3Ni crystal, as listed in Alexandria via LeMat-Bulk.

Lattice parameters (Å, degrees): 4.677 4.677 4.677 90.00 90.00 90.00
Space group Pm-3m (No. 221)
Inequivalent atoms, fractional coordinates:
Hf  0.000  0.000  0.000
Tc  0.000  0.000  0.500
Ni  0.500  0.500  0.500

Values from the calculation:
- offset from the most stable computed form (meV per atom) = 1145